(1)
HoSb2Pd7 | PBE | relaxed

```
HoSb2Pd7
1.0
3.748 -6.511 0.000
3.748 6.511 0.000
0.000 0.000 4.518
Ho Sb Pd
1 2 7
Direct
0.000 0.000 0.000
0.303 0.697 0.500
0.697 0.303 0.500
0.071 0.291 0.500
0.210 0.790 0.000
0.291 0.071 0.500
0.500 0.500 0.500
0.709 0.929 0.500
0.790 0.210 0.000
0.929 0.709 0.500
```

Volume (Å³ per cell): 221
Energy relative to the lowest polymorph listed for this composition (kJ/mol of atoms): 27.5
E_form (uncorrected) (kJ/mol of atoms): -30.60

=====

(2)
HoSb4Pd15 | PBE | relaxed

```
HoSb4Pd15
1.0
4.082 0.000 0.000
0.000 4.082 0.000
0.000 0.000 20.177
Ho Sb Pd
1 4 15
Direct
0.000 0.000 0.000
0.000 0.000 0.200
0.000 0.000 0.400
0.000 0.000 0.600
0.000 0.000 0.800
0.000 0.500 0.103
0.000 0.500 0.301
0.000 0.500 0.500
0.000 0.500 0.699
0.000 0.500 0.897
0.500 0.000 0.103
0.500 0.000 0.301
0.500 0.000 0.500
0.500 0.000 0.699
0.500 0.000 0.897
0.500 0.500 0.000
0.500 0.500 0.204
0.500 0.500 0.401
0.500 0.500 0.599
0.500 0.500 0.796
```

Volume (Å³ per cell): 336
E_form (uncorrected) (kJ/mol of atoms): -46.01

=====

(3)
HoSbPd6 | PBE | relaxed

```
HoSbPd6
1.0
2.726 1.574 6.818
-2.726 1.574 6.818
0.000 -3.148 6.818
Ho Sb Pd
1 1 6
Direct
0.000 0.000 0.000
0.500 0.500 0.500
0.059 0.569 0.569
0.431 0.431 0.941
0.431 0.941 0.431
0.569 0.059 0.569
0.569 0.569 0.059
0.941 0.431 0.431
```

Volume (Å³ per cell): 176
Energy relative to the lowest polymorph listed for this composition (kJ/mol of atoms): 31.6
E_form (uncorrected) (kJ/mol of atoms): -29.04

=====

(4)
Ho7Sb2Pd2 | PBE | relaxed

```
Ho7Sb2Pd2
1.0
4.312 -5.396 0.000
4.312 5.396 0.000
0.000 0.000 6.896
Ho Sb Pd
7 2 2
Direct
0.000 0.000 0.000
0.000 0.500 0.254
0.000 0.500 0.746
0.500 0.000 0.254
0.500 0.000 0.746
0.500 0.500 0.241
0.500 0.500 0.759
0.197 0.197 0.500
0.803 0.803 0.500
0.280 0.720 0.000
0.720 0.280 0.000
```

Volume (Å³ per cell): 321
Energy relative to the lowest polymorph listed for this composition (kJ/mol of atoms): 21.0
E_form (uncorrected) (kJ/mol of atoms): -49.71

=====

(5)
HoSbPd4 | PBE | relaxed

```
HoSbPd4
1.0
0.000 3.813 3.813
3.813 0.000 3.813
3.813 3.813 0.000
Ho Sb Pd
1 1 4
Direct
0.000 0.000 0.000
0.250 0.250 0.250
0.124 0.625 0.625
0.625 0.124 0.625
0.625 0.625 0.124
0.625 0.625 0.625
```

Volume (Å³ per cell): 111
Energy relative to the lowest polymorph listed for this composition (kJ/mol of atoms): 0.0
E_form (uncorrected) (kJ/mol of atoms): -53.48

=====

(6)
HoSb2Pd7 | PBE | relaxed

```
HoSb2Pd7
1.0
-2.062 2.062 11.063
2.062 -2.062 11.063
2.062 2.062 -11.063
Ho Sb Pd
1 2 7
Direct
0.000 0.000 0.000
0.330 0.330 0.000
0.670 0.670 0.000
0.093 0.593 0.500
0.250 0.750 0.500
0.407 0.907 0.500
0.500 0.500 0.000
0.593 0.093 0.500
0.750 0.250 0.500
0.907 0.407 0.500
```

Volume (Å³ per cell): 188
Energy relative to the lowest polymorph listed for this composition (kJ/mol of atoms): 0.0
E_form (uncorrected) (kJ/mol of atoms): -58.12

=====

Respective final energy values: -5.23, -5.42, -5.28, -5.12, -5.47, -5.52 eV/atom.